No. 1
Ga2Br: optimized geometry, PBE.

Results
SG   Ama2
E_form (uncorrected)   -0.83 eV per formula unit

a b c (Å): 6.253 11.195 4.396
angles (deg): 90.00 90.00 90.00
Sites, in units of the cell vectors:
Ga1 0.250 0.049 0.700
Ga2 0.750 0.951 0.700
Ga3 0.250 0.549 0.200
Ga4 0.750 0.451 0.200
Ga5 0.000 0.000 0.200
Ga6 0.500 0.000 0.200
Ga7 0.000 0.500 0.700
Ga8 0.500 0.500 0.700
Br1 0.250 0.281 0.694
Br2 0.750 0.719 0.694
Br3 0.250 0.781 0.194
Br4 0.750 0.219 0.194

=====

No. 2
GaBr2: optimized geometry, PBE.

Results
SG   R3c
E_form (uncorrected)   -2.26 eV per formula unit

a b c (Å): 13.988 13.988 13.988
angles (deg): 115.91 115.91 115.91
Sites, in units of the cell vectors:
Br1 0.429 0.400 0.618
Br2 0.400 0.618 0.429
Br3 0.044 0.570 0.639
Br4 0.139 0.070 0.544
Br5 0.900 0.929 0.118
Br6 0.343 0.253 0.976
Br7 0.595 0.315 0.830
Br8 0.843 0.476 0.753
Br9 0.330 0.815 0.095
Br10 0.070 0.544 0.139
Br11 0.618 0.429 0.400
Br12 0.976 0.343 0.253
Br13 0.315 0.830 0.595
Br14 0.570 0.639 0.044
Br15 0.544 0.139 0.070
Br16 0.815 0.095 0.330
Br17 0.476 0.753 0.843
Br18 0.118 0.900 0.929
Br19 0.095 0.330 0.815
Br20 0.830 0.595 0.315
Br21 0.929 0.118 0.900
Br22 0.639 0.044 0.570
Br23 0.253 0.976 0.343
Br24 0.753 0.843 0.476
Ga1 0.392 0.670 0.241
Ga2 0.361 0.192 0.585
Ga3 0.241 0.392 0.670
Ga4 0.170 0.892 0.741
Ga5 0.670 0.241 0.392
Ga6 0.085 0.692 0.861
Ga7 0.861 0.085 0.692
Ga8 0.741 0.170 0.892
Ga9 0.892 0.741 0.170
Ga10 0.585 0.361 0.192
Ga11 0.192 0.585 0.361
Ga12 0.692 0.861 0.085

=====

No. 3
Ga2Ge2Br: optimized geometry, PBE.

Results
SG   P4/mbm
E_form (uncorrected)   0.61 eV per formula unit

a b c (Å): 7.906 7.906 3.580
angles (deg): 90.00 90.00 90.00
Sites, in units of the cell vectors:
Ge1 0.114 0.614 0.500
Ge2 0.614 0.886 0.500
Ge3 0.886 0.386 0.500
Ge4 0.386 0.114 0.500
Ga1 0.312 0.812 0.000
Ga2 0.812 0.688 0.000
Ga3 0.688 0.188 0.000
Ga4 0.188 0.312 0.000
Br1 0.000 0.000 0.000
Br2 0.500 0.500 0.000

=====

No. 4
Ga2Ge2Br: optimized geometry, PBE.

Results
SG   I4/mmm
E_form (uncorrected)   0.25 eV per formula unit

a b c (Å): 4.008 4.008 7.368
angles (deg): 74.21 74.21 90.00
Sites, in units of the cell vectors:
Ge1 0.750 0.250 0.500
Ge2 0.250 0.750 0.500
Ga1 0.402 0.402 0.196
Ga2 0.598 0.598 0.804
Br1 0.000 0.000 0.000

=====

No. 5
Ga2GeBr: optimized geometry, PBE.

Results
SG   Fm-3m
E_form (uncorrected)   0.63 eV per formula unit

a b c (Å): 5.000 5.000 5.000
angles (deg): 60.00 60.00 60.00
Sites, in units of the cell vectors:
Ge1 0.000 0.000 0.000
Ga1 0.250 0.250 0.250
Ga2 0.750 0.750 0.750
Br1 0.500 0.500 0.500

=====

No. 6
Ga2GeBr6: optimized geometry, PBE.

Results
SG   C2/c
E_form (uncorrected)   -6.13 eV per formula unit

a b c (Å): 6.858 10.198 10.198
angles (deg): 78.69 83.99 83.99
Sites, in units of the cell vectors:
Ga1 0.234 0.491 0.666
Ga2 0.266 0.334 0.509
Ga3 0.766 0.509 0.334
Ga4 0.734 0.666 0.491
Ge1 0.250 0.066 0.934
Ge2 0.750 0.934 0.066
Br1 0.377 0.711 0.573
Br2 0.123 0.427 0.289
Br3 0.623 0.289 0.427
Br4 0.877 0.573 0.711
Br5 0.836 0.880 0.421
Br6 0.664 0.579 0.120
Br7 0.164 0.120 0.579
Br8 0.336 0.421 0.880
Br9 0.128 0.835 0.964
Br10 0.372 0.036 0.165
Br11 0.872 0.165 0.036
Br12 0.628 0.964 0.835